Material: Tl4B
Method: DFT, PBE-GGA
State: optimized geometry

## Properties
Mass density (g cm⁻³): 10.09
Fermi-level density of states (states/eV/cell): 4.40
Total DFT energy (no corrections) (eV per cell): -13.139
Calculated formation energy (meV per atom): 601

a = 5.147 Å, b = 5.147 Å, c = 5.147 Å
α = 90.00°, β = 90.00°, γ = 90.00°
Space group Pm-3m (No. 221)
Symmetry-distinct sites (fractional):
Tl1 0.000 0.000 0.000 (multiplicity 1)
Tl2 0.000 0.500 0.500 (multiplicity 3)
B1 0.500 0.500 0.500 (multiplicity 1)